A plane-wave DFT calculation with GGA-PBE was carried out for a relaxed structure of YCu2Cl.

POSCAR file:
```
YCu2Cl
1.0
-3.4786 -1.5960 0.5704
-0.2496 -0.8052 -3.7753
2.3165 -4.7422 0.8582
Cl Y Cu
1 1 2
direct
0.5000 0.5000 0.7500
0.5000 0.5000 0.2500
0.0000 0.0000 0.4891
0.0000 0.0000 0.0109
```

Calculated values
* E_form (uncorrected): -0.19 eV/atom